1.
# MoAu2I PBE optimized geometry
# - magnetization (μB/cell) = 5.9
# - formation energy from raw total energies (eV per atom) = 0.73
# - crystal system = tetragonal
# - energy above the lowest structure with this stoichiometry (meV per atom) = 0
# - space-group type = No. 122
data_MoAu2I
_chemical_formula_sum 'Mo2 Au4 I2'
_cell_length_a 8.0710
_cell_length_b 8.0710
_cell_length_c 6.3552
_cell_angle_alpha 50.58
_cell_angle_beta 50.58
_cell_angle_gamma 90.00
_space_group_name_H-M_alt 'P 1'
_space_group_IT_number 1
_space_group_name_Hall 'P 1'
loop_
_atom_site_label
_atom_site_type_symbol
_atom_site_fract_x
_atom_site_fract_y
_atom_site_fract_z
Au1 Au 0.8750 0.8520 0.7500
Mo1 Mo 0.5000 0.5000 0.0000
Au2 Au 0.1480 0.6250 0.2500
Au3 Au 0.6020 0.1250 0.2500
I1 I 0.0000 0.0000 0.0000
I2 I 0.7500 0.2500 0.5000
Mo2 Mo 0.2500 0.7500 0.5000
Au4 Au 0.3750 0.3980 0.7500

***

2.
# SiP2PtCl PBE optimized geometry
# - magnetization (μB/cell) = 0.0
# - formation energy from raw total energies (eV per atom) = 0.76
# - crystal system = tetragonal
# - energy above the lowest structure with this stoichiometry (meV per atom) = 0
# - space-group type = No. 123
data_SiP2PtCl
_chemical_formula_sum 'Si1 P2 Pt1 Cl1'
_cell_length_a 4.5679
_cell_length_b 4.5679
_cell_length_c 4.2812
_cell_angle_alpha 90.00
_cell_angle_beta 90.00
_cell_angle_gamma 90.00
_space_group_name_H-M_alt 'P 1'
_space_group_IT_number 1
_space_group_name_Hall 'P 1'
loop_
_atom_site_label
_atom_site_type_symbol
_atom_site_fract_x
_atom_site_fract_y
_atom_site_fract_z
Pt1 Pt 0.5000 0.5000 0.5000
Cl1 Cl 0.0000 0.0000 0.5000
P1 P 0.5000 0.0000 0.0000
Si1 Si 0.0000 0.0000 0.0000
P2 P 0.0000 0.5000 0.0000

***

3.
# CeGa6 PBE optimized geometry
# - energy of formation (meV/atom) = -327
# - magnetization (μB/cell) = 1.7
# - crystal system = tetragonal
# - energy above the lowest structure with this stoichiometry (meV per atom) = 0
# - space-group type = No. 125
data_CeGa6
_chemical_formula_sum 'Ce2 Ga12'
_cell_length_a 5.9953
_cell_length_b 5.9953
_cell_length_c 7.7162
_cell_angle_alpha 90.00
_cell_angle_beta 90.00
_cell_angle_gamma 90.00
_space_group_name_H-M_alt 'P 1'
_space_group_IT_number 1
_space_group_name_Hall 'P 1'
loop_
_atom_site_label
_atom_site_type_symbol
_atom_site_fract_x
_atom_site_fract_y
_atom_site_fract_z
Ce1 Ce 0.0000 0.5000 0.0000
Ga1 Ga 0.6848 0.8152 0.3514
Ce2 Ce 0.5000 0.0000 0.0000
Ga2 Ga 0.3152 0.8152 0.6486
Ga3 Ga 0.8152 0.3152 0.3514
Ga4 Ga 0.8152 0.6848 0.6486
Ga5 Ga 0.3152 0.1848 0.3514
Ga6 Ga 0.0000 0.0000 0.8390
Ga7 Ga 0.6848 0.1848 0.6486
Ga8 Ga 0.1848 0.3152 0.6486
Ga9 Ga 0.1848 0.6848 0.3514
Ga10 Ga 0.0000 0.0000 0.1610
Ga11 Ga 0.5000 0.5000 0.8390
Ga12 Ga 0.5000 0.5000 0.1610

***

4.
# Mg2HgSe PBE optimized geometry
# - magnetization (μB/cell) = 0.0
# - formation energy from raw total energies (eV per atom) = -0.39
# - crystal system = monoclinic
# - energy above the lowest structure with this stoichiometry (meV per atom) = 179
# - space-group type = No. 12
data_Mg2HgSe
_chemical_formula_sum 'Mg2 Hg1 Se1'
_cell_length_a 4.9155
_cell_length_b 4.9155
_cell_length_c 3.5369
_cell_angle_alpha 89.39
_cell_angle_beta 89.39
_cell_angle_gamma 91.04
_space_group_name_H-M_alt 'P 1'
_space_group_IT_number 1
_space_group_name_Hall 'P 1'
loop_
_atom_site_label
_atom_site_type_symbol
_atom_site_fract_x
_atom_site_fract_y
_atom_site_fract_z
Mg1 Mg 0.0000 0.0000 0.0000
Hg1 Hg 0.0000 0.5000 0.5000
Mg2 Mg 0.5000 0.5000 0.0000
Se1 Se 0.5000 0.0000 0.5000

***

5.
# CdAgHg2F6 PBE optimized geometry
# - magnetization (μB/cell) = 0.0
# - formation energy from raw total energies (eV per atom) = -1.44
# - crystal system = monoclinic
# - space-group type = No. 14
data_CdAgHg2F6
_chemical_formula_sum 'Cd2 Ag2 Hg4 F12'
_cell_length_a 5.9901
_cell_length_b 6.1250
_cell_length_c 9.1393
_cell_angle_alpha 90.00
_cell_angle_beta 88.25
_cell_angle_gamma 90.00
_space_group_name_H-M_alt 'P 1'
_space_group_IT_number 1
_space_group_name_Hall 'P 1'
loop_
_atom_site_label
_atom_site_type_symbol
_atom_site_fract_x
_atom_site_fract_y
_atom_site_fract_z
Cd1 Cd 0.0000 0.5000 0.5000
Cd2 Cd 0.5000 0.0000 0.0000
F1 F 0.3340 0.0961 0.2218
F2 F 0.2021 0.8099 0.9236
F3 F 0.1755 0.7893 0.6029
Ag1 Ag 0.5000 0.0000 0.5000
F4 F 0.7979 0.1901 0.0764
F5 F 0.6755 0.7107 0.1029
F6 F 0.7021 0.6901 0.4236
F7 F 0.8340 0.4039 0.7218
F8 F 0.6660 0.9039 0.7782
Ag2 Ag 0.0000 0.5000 0.0000
Hg1 Hg 0.4693 0.5715 0.7378
Hg2 Hg 0.9693 0.9285 0.2378
Hg3 Hg 0.0307 0.0715 0.7622
Hg4 Hg 0.5307 0.4285 0.2622
F9 F 0.8245 0.2107 0.3971
F10 F 0.3245 0.2893 0.8971
F11 F 0.2979 0.3099 0.5764
F12 F 0.1660 0.5961 0.2782

***

6.
# AsC2S PBE optimized geometry
# - magnetization (μB/cell) = 0.0
# - formation energy from raw total energies (eV per atom) = 2.61
# - crystal system = cubic
# - energy above the lowest structure with this stoichiometry (meV per atom) = 907
# - space-group type = No. 225
data_AsC2S
_chemical_formula_sum 'As1 C2 S1'
_cell_length_a 4.0024
_cell_length_b 4.0024
_cell_length_c 4.0024
_cell_angle_alpha 60.00
_cell_angle_beta 60.00
_cell_angle_gamma 60.00
_space_group_name_H-M_alt 'P 1'
_space_group_IT_number 1
_space_group_name_Hall 'P 1'
loop_
_atom_site_label
_atom_site_type_symbol
_atom_site_fract_x
_atom_site_fract_y
_atom_site_fract_z
C1 C 0.2500 0.2500 0.2500
S1 S 0.0000 0.0000 0.0000
As1 As 0.5000 0.5000 0.5000
C2 C 0.7500 0.7500 0.7500

***

7.
# Rb3In PBE optimized geometry
# - energy of formation (meV/atom) = 138
# - magnetization (μB/cell) = 0.0
# - crystal system = orthorhombic
# - energy above the lowest structure with this stoichiometry (meV per atom) = 52
# - space-group type = No. 25
data_Rb3In
_chemical_formula_sum 'Rb3 In1'
_cell_length_a 5.8697
_cell_length_b 4.6517
_cell_length_c 9.6311
_cell_angle_alpha 90.00
_cell_angle_beta 90.00
_cell_angle_gamma 90.00
_space_group_name_H-M_alt 'P 1'
_space_group_IT_number 1
_space_group_name_Hall 'P 1'
loop_
_atom_site_label
_atom_site_type_symbol
_atom_site_fract_x
_atom_site_fract_y
_atom_site_fract_z
In1 In 0.0000 0.0000 0.0324
Rb1 Rb 0.0000 0.5000 0.4266
Rb2 Rb 0.5000 0.0000 0.7469
Rb3 Rb 0.5000 0.5000 0.1273

***

8.
# Pr9Sm2Tl PBE optimized geometry
# - energy of formation (meV/atom) = -49
# - magnetization (μB/cell) = 0.0
# - crystal system = tetragonal
# - space-group type = No. 123
data_Pr9Sm2Tl
_chemical_formula_sum 'Pr9 Sm2 Tl1'
_cell_length_a 5.1213
_cell_length_b 5.1213
_cell_length_c 15.7405
_cell_angle_alpha 90.00
_cell_angle_beta 90.00
_cell_angle_gamma 90.00
_space_group_name_H-M_alt 'P 1'
_space_group_IT_number 1
_space_group_name_Hall 'P 1'
loop_
_atom_site_label
_atom_site_type_symbol
_atom_site_fract_x
_atom_site_fract_y
_atom_site_fract_z
Pr1 Pr 0.5000 0.5000 0.6700
Sm1 Sm 0.0000 0.0000 0.6689
Pr2 Pr 0.5000 0.0000 0.1613
Pr3 Pr 0.5000 0.0000 0.8387
Pr4 Pr 0.5000 0.0000 0.5000
Tl1 Tl 0.0000 0.0000 0.0000
Sm2 Sm 0.0000 0.0000 0.3311
Pr5 Pr 0.0000 0.5000 0.1613
Pr6 Pr 0.5000 0.5000 0.0000
Pr7 Pr 0.5000 0.5000 0.3300
Pr8 Pr 0.0000 0.5000 0.8387
Pr9 Pr 0.0000 0.5000 0.5000

***

9.
# LiBeIrO5 PBE optimized geometry
# - magnetization (μB/cell) = 0.8
# - formation energy from raw total energies (eV per atom) = -1.27
# - crystal system = monoclinic
# - space-group type = No. 15
data_LiBeIrO5
_chemical_formula_sum 'Li2 Be2 Ir2 O10'
_cell_length_a 5.2398
_cell_length_b 5.2398
_cell_length_c 7.0364
_cell_angle_alpha 104.57
_cell_angle_beta 104.57
_cell_angle_gamma 108.79
_space_group_name_H-M_alt 'P 1'
_space_group_IT_number 1
_space_group_name_Hall 'P 1'
loop_
_atom_site_label
_atom_site_type_symbol
_atom_site_fract_x
_atom_site_fract_y
_atom_site_fract_z
O1 O 0.9035 0.0965 0.7500
Be1 Be 0.3049 0.6951 0.7500
O2 O 0.3931 0.2460 0.0737
O3 O 0.6069 0.7540 0.9263
Be2 Be 0.6951 0.3049 0.2500
O4 O 0.7540 0.6069 0.4263
O5 O 0.0576 0.6770 0.8517
Ir1 Ir 0.0000 0.0000 0.5000
O6 O 0.6770 0.0576 0.3517
O7 O 0.2460 0.3931 0.5737
O8 O 0.3230 0.9424 0.6483
Ir2 Ir 0.0000 0.0000 0.0000
Li1 Li 0.6556 0.3444 0.7500
Li2 Li 0.3444 0.6556 0.2500
O9 O 0.0965 0.9035 0.2500
O10 O 0.9424 0.3230 0.1483

***

10.
# KGa22Ir6 PBE optimized geometry
# - energy of formation (meV/atom) = -219
# - magnetization (μB/cell) = 0.0
# - crystal system = cubic
# - space-group type = No. 225
data_KGa22Ir6
_chemical_formula_sum 'K1 Ga22 Ir6'
_cell_length_a 9.0791
_cell_length_b 9.0791
_cell_length_c 9.0791
_cell_angle_alpha 60.00
_cell_angle_beta 60.00
_cell_angle_gamma 60.00
_space_group_name_H-M_alt 'P 1'
_space_group_IT_number 1
_space_group_name_Hall 'P 1'
loop_
_atom_site_label
_atom_site_type_symbol
_atom_site_fract_x
_atom_site_fract_y
_atom_site_fract_z
Ga1 Ga 0.3812 0.8565 0.3812
Ga2 Ga 0.2500 0.2500 0.2500
Ga3 Ga 0.6188 0.1435 0.6188
Ir1 Ir 0.7363 0.2637 0.7363
Ga4 Ga 0.6411 0.0000 0.3589
Ga5 Ga 0.0000 0.6411 0.3589
K1 K 0.0000 0.0000 0.0000
Ir2 Ir 0.2637 0.2637 0.7363
Ga6 Ga 0.8565 0.3812 0.3812
Ir3 Ir 0.2637 0.7363 0.7363
Ga7 Ga 0.1435 0.6188 0.6188
Ga8 Ga 0.0000 0.0000 0.6411
Ga9 Ga 0.6411 0.3589 0.0000
Ga10 Ga 0.3589 0.0000 0.0000
Ga11 Ga 0.6411 0.0000 0.0000
Ga12 Ga 0.3812 0.3812 0.8565
Ga13 Ga 0.3812 0.3812 0.3812
Ir4 Ir 0.2637 0.7363 0.2637
Ga14 Ga 0.0000 0.3589 0.0000
Ga15 Ga 0.0000 0.3589 0.6411
Ga16 Ga 0.6188 0.6188 0.1435
Ga17 Ga 0.6188 0.6188 0.6188
Ga18 Ga 0.3589 0.6411 0.0000
Ir5 Ir 0.7363 0.2637 0.2637
Ga19 Ga 0.7500 0.7500 0.7500
Ga20 Ga 0.0000 0.0000 0.3589
Ga21 Ga 0.3589 0.0000 0.6411
Ga22 Ga 0.0000 0.6411 0.0000
Ir6 Ir 0.7363 0.7363 0.2637

***

11.
# YReCl2 PBE optimized geometry
# - magnetization (μB/cell) = 1.3
# - formation energy from raw total energies (eV per atom) = 0.00
# - crystal system = orthorhombic
# - energy above the lowest structure with this stoichiometry (meV per atom) = 476
# - space-group type = No. 47
data_YReCl2
_chemical_formula_sum 'Y1 Re1 Cl2'
_cell_length_a 3.0728
_cell_length_b 5.7509
_cell_length_c 4.4670
_cell_angle_alpha 90.00
_cell_angle_beta 90.00
_cell_angle_gamma 90.00
_space_group_name_H-M_alt 'P 1'
_space_group_IT_number 1
_space_group_name_Hall 'P 1'
loop_
_atom_site_label
_atom_site_type_symbol
_atom_site_fract_x
_atom_site_fract_y
_atom_site_fract_z
Y1 Y 0.0000 0.5000 0.5000
Cl1 Cl 0.0000 0.0000 0.0000
Cl2 Cl 0.5000 0.5000 0.0000
Re1 Re 0.5000 0.0000 0.5000

***

12.
# ScPb PBE optimized geometry
# - energy of formation (meV/atom) = -210
# - magnetization (μB/cell) = 0.0
# - crystal system = tetragonal
# - space-group type = No. 129
data_ScPb
_chemical_formula_sum 'Sc2 Pb2'
_cell_length_a 4.0953
_cell_length_b 4.0953
_cell_length_c 6.1083
_cell_angle_alpha 90.00
_cell_angle_beta 90.00
_cell_angle_gamma 90.00
_space_group_name_H-M_alt 'P 1'
_space_group_IT_number 1
_space_group_name_Hall 'P 1'
loop_
_atom_site_label
_atom_site_type_symbol
_atom_site_fract_x
_atom_site_fract_y
_atom_site_fract_z
Sc1 Sc 0.5000 0.5000 0.7600
Sc2 Sc 0.0000 0.0000 0.4900
Pb1 Pb 0.5000 0.5000 0.2732
Pb2 Pb 0.0000 0.0000 0.9768

***

Values for DOS(E_F), states/eV/atom, ordered as above
0.156 0.593 0.956 0.443 0.145 0.733 1.002 1.313 0.650 0.614 0.845 1.102